(1)
Below is a relaxed Sr4Ce3NbN8 crystal, with properties calculated at the PBE-GGA level.

```
Sr4Ce3NbN8
1.0
-5.957 -2.349 3.077
-1.633 -3.704 -5.990
6.279 -1.053 3.152
Ce N Sr Nb
3 8 4 1
Cartesian
2.323 -2.379 -1.419
-0.656 -3.553 0.120
-3.795 -3.027 -1.456
-1.804 -1.698 -0.976
0.320 -3.587 -2.118
-2.579 -4.832 -0.479
-4.992 -2.955 0.671
0.493 -5.408 1.215
3.681 -4.151 -0.431
-1.631 -3.518 2.358
1.268 -2.274 0.719
0.000 0.000 0.000
3.140 -0.526 1.576
0.161 -1.701 3.114
-2.979 -1.174 1.539
-0.817 -1.852 -2.995
```

As for the formation energy without anion corrections: -17.840 eV per formula unit. The total moment is 0.00 μB/atom.

=====

(2)
Below is a relaxed V2FeIr3 crystal, with properties calculated at the PBE-GGA level.

```
V2FeIr3
1.0
3.666 0.000 0.000
0.000 3.632 -1.228
0.000 0.041 6.105
Fe Ir V
1 3 2
Cartesian
0.000 0.000 0.000
1.833 3.058 3.059
1.833 1.816 -0.614
1.833 0.615 1.818
0.000 2.411 1.144
0.000 1.262 3.733
```

The offset from the most stable computed form comes out at 0.000 eV/atom. The formation energy comes out at -41 kJ per mole of atoms. The total moment is 0.08 μB/atom.

=====

(3)
Below is a relaxed LuNb2V crystal, with properties calculated at the PBE-GGA level.

```
LuNb2V
1.0
3.075 0.000 0.000
1.538 2.663 0.000
1.538 0.888 9.794
Lu V Nb
1 1 2
Cartesian
0.000 0.000 0.000
3.075 1.776 4.897
4.613 2.663 2.940
1.538 0.888 6.853
```

The formation energy comes out at 49 kJ per mole of atoms. The total moment is 0.00 μB/atom.

=====

(4)
Below is a relaxed CeBiPdPt crystal, with properties calculated at the PBE-GGA level.

```
CeBiPdPt
1.0
-2.547 3.739 -2.077
-4.969 0.084 0.280
-2.274 3.364 2.879
Bi Ce Pd Pt
1 1 1 1
Cartesian
-4.895 3.593 0.541
0.000 0.000 0.000
-2.448 1.796 0.270
-7.343 5.389 0.811
```

The formation energy comes out at -67 kJ per mole of atoms. The total moment is 0.17 μB/atom.

=====

(5)
Below is a relaxed Dy3Tm3MgSe8 crystal, with properties calculated at the PBE-GGA level.

```
Dy3Tm3MgSe8
1.0
-6.549 -2.523 -3.931
6.730 1.694 -4.069
-0.310 -6.544 4.716
Tm Se Dy Mg
3 8 3 1
Cartesian
-0.065 -3.686 -1.642
3.210 -2.425 0.323
-3.430 -4.533 0.393
-1.682 -2.313 0.231
-1.591 -2.734 -3.826
1.661 -1.453 -1.835
1.461 -4.639 0.543
-1.790 -5.920 -1.449
4.875 -3.780 -1.521
-5.004 -3.593 -1.763
1.553 -5.059 -3.515
0.090 -0.414 -4.000
3.365 0.847 -2.035
0.000 0.000 0.000
-0.155 -3.272 2.358
```

As for the formation energy without anion corrections: -25.940 eV per formula unit. The total moment is 0.00 μB/atom.

=====

(6)
Below is a relaxed Y10U4O27 crystal, with properties calculated at the PBE-GGA level.

```
Y10U4O27
1.0
-2.028 2.988 5.472
4.308 -4.265 2.607
8.438 9.053 -4.342
O Y U
27 10 4
Cartesian
8.384 8.153 0.028
3.835 6.238 3.674
4.236 1.363 0.637
3.659 4.907 -0.285
3.135 -1.695 5.965
4.766 2.470 4.399
1.336 5.547 3.958
9.190 7.025 2.181
1.514 3.203 2.887
7.282 2.897 3.926
6.763 1.643 0.122
-0.373 1.550 5.632
9.423 2.032 0.076
2.389 -0.538 3.755
10.913 6.234 -1.826
3.932 3.741 2.346
6.599 4.163 1.421
9.349 4.777 0.912
2.332 2.000 5.010
1.613 0.812 1.438
5.028 -2.465 1.834
6.608 6.401 3.016
5.699 7.550 0.570
8.326 5.861 -1.201
7.534 9.456 -2.362
5.590 10.175 1.822
5.058 0.103 3.012
4.950 5.746 1.623
5.801 2.160 2.283
7.265 8.430 2.098
7.799 3.710 -0.419
3.360 -0.730 1.641
8.295 4.899 2.978
2.365 2.847 0.677
0.684 1.135 3.552
4.027 0.367 5.113
6.778 7.512 -1.444
-1.983 2.952 5.471
9.994 6.678 0.144
6.394 3.176 5.827
3.033 3.902 4.250
```

As for the formation energy without anion corrections: -141.138 eV per formula unit. The total moment is 0.00 μB/atom.

=====

(7)
Below is a relaxed Ho4InGa crystal, with properties calculated at the PBE-GGA level.

```
Ho4InGa
1.0
5.039 0.000 -0.001
0.000 5.039 -0.002
0.004 0.006 7.170
Ho In Ga
4 1 1
Cartesian
2.527 5.026 1.858
0.010 2.511 5.281
0.007 2.507 1.861
2.529 5.032 5.279
2.529 2.512 7.155
0.008 5.028 3.570
```

The formation energy comes out at -16 kJ per mole of atoms. The total moment is 0.00 μB/atom.

=====

(8)
Below is a relaxed Tb5YSc5 crystal, with properties calculated at the PBE-GGA level.

```
Tb5YSc5
1.0
5.794 0.000 0.000
-2.897 5.018 0.000
0.000 0.000 11.326
Tb Y Sc
5 1 5
Cartesian
0.000 3.345 7.710
0.000 3.345 3.617
2.897 1.673 1.812
2.897 1.673 9.514
0.000 0.000 0.000
0.000 3.345 0.000
0.000 0.000 3.052
0.000 0.000 8.275
4.366 0.825 5.663
2.897 3.369 5.663
1.428 0.825 5.663
```

The formation energy comes out at 23 kJ per mole of atoms. The total moment is 0.21 μB/atom.

=====

Mass density in g/cm3, matching the order above: 6.23, 14.97, 8.52, 12.39, 7.41, 6.96, 7.70, 5.59